# RbLaBe3 | Alexandria | GGA-PBE | relaxed
# E above lowest polymorph, meV/atom: 266.5
# Energy relative to the elements, meV per atom: 1765.7
data_RbLaBe3
_cell_length_a 5.0906
_cell_length_b 5.0906
_cell_length_c 5.0906
_cell_angle_alpha 90.00
_cell_angle_beta 90.00
_cell_angle_gamma 90.00
_symmetry_space_group_name_H-M 'P m -3 m'
_symmetry_Int_Tables_number 221
_symmetry_space_group_name_Hall '-P 4 2 3'
loop_
_atom_site_label
_atom_site_type_symbol
_atom_site_fract_x
_atom_site_fract_y
_atom_site_fract_z
Rb1 Rb 0.0000 0.0000 0.0000
La1 La 0.5000 0.5000 0.5000
Be1 Be 0.0000 0.0000 0.5000

# CeYPu2N4 | Alexandria | GGA-PBE | relaxed
# E_form (uncorrected), meV per atom: -1422
data_CeYPu2N4
_cell_length_a 6.0330
_cell_length_b 3.5094
_cell_length_c 6.0882
_cell_angle_alpha 90.00
_cell_angle_beta 109.56
_cell_angle_gamma 90.00
_symmetry_space_group_name_H-M 'P 1 2/m 1'
_symmetry_Int_Tables_number 10
_symmetry_space_group_name_Hall '-P 2y'
loop_
_atom_site_label
_atom_site_type_symbol
_atom_site_fract_x
_atom_site_fract_y
_atom_site_fract_z
Ce1 Ce 0.0000 0.0000 0.0000
Y1 Y 0.0000 0.5000 0.5000
Pu1 Pu 0.5000 0.0000 0.5000
Pu2 Pu 0.5000 0.5000 0.0000
N1 N 0.2604 0.0000 0.7502
N2 N 0.2605 0.5000 0.2581

# MgAlSe | Alexandria | GGA-PBE | relaxed
# E_form (uncorrected), meV per atom: 75
# E above lowest polymorph, meV/atom: 569.9
data_MgAlSe
_cell_length_a 6.6603
_cell_length_b 6.6603
_cell_length_c 6.6603
_cell_angle_alpha 90.00
_cell_angle_beta 90.00
_cell_angle_gamma 90.00
_symmetry_space_group_name_H-M 'F -4 3 m'
_symmetry_Int_Tables_number 216
_symmetry_space_group_name_Hall 'F -4 2 3'
loop_
_atom_site_label
_atom_site_type_symbol
_atom_site_fract_x
_atom_site_fract_y
_atom_site_fract_z
Mg1 Mg 0.0000 0.0000 0.0000
Al1 Al 0.2500 0.2500 0.7500
Se1 Se 0.0000 0.0000 0.5000

# Cs2Hf3Br9 | Alexandria | GGA-PBE | relaxed
# E_form (uncorrected), meV per atom: -1393
data_Cs2Hf3Br9
_cell_length_a 11.8172
_cell_length_b 18.5496
_cell_length_c 10.8048
_cell_angle_alpha 90.00
_cell_angle_beta 116.77
_cell_angle_gamma 90.00
_symmetry_space_group_name_H-M 'C 1 2/m 1'
_symmetry_Int_Tables_number 12
_symmetry_space_group_name_Hall '-C 2y'
loop_
_atom_site_label
_atom_site_type_symbol
_atom_site_fract_x
_atom_site_fract_y
_atom_site_fract_z
Cs1 Cs 0.1028 0.1596 0.3160
Hf1 Hf 0.1195 0.5000 0.8741
Hf2 Hf 0.1416 0.4139 0.1426
Br1 Br 0.0000 0.2998 0.0000
Br2 Br 0.0283 0.4006 0.3083
Br3 Br 0.1819 0.0000 0.6687
Br4 Br 0.1990 0.1932 0.6836
Br5 Br 0.2143 0.1053 0.9891
Br6 Br 0.2472 0.5000 0.7162

# K2UH6 | Alexandria | GGA-PBE | relaxed
# E, eV/atom: -3.475
data_K2UH6
_cell_length_a 8.9338
_cell_length_b 8.9338
_cell_length_c 8.9338
_cell_angle_alpha 90.00
_cell_angle_beta 90.00
_cell_angle_gamma 90.00
_symmetry_space_group_name_H-M 'F m -3 m'
_symmetry_Int_Tables_number 225
_symmetry_space_group_name_Hall '-F 4 2 3'
loop_
_atom_site_label
_atom_site_type_symbol
_atom_site_fract_x
_atom_site_fract_y
_atom_site_fract_z
K1 K 0.2500 0.2500 0.2500
U1 U 0.0000 0.0000 0.0000
H1 H 0.0000 0.0000 0.2410

# Tm2GaAg2 | Alexandria | GGA-PBE | relaxed
# E above lowest polymorph, meV/atom: 0.0
# Energy relative to the elements, meV per atom: -369.4
data_Tm2GaAg2
_cell_length_a 10.8894
_cell_length_b 3.7393
_cell_length_c 11.6778
_cell_angle_alpha 90.00
_cell_angle_beta 111.78
_cell_angle_gamma 90.00
_symmetry_space_group_name_H-M 'C 1 2/m 1'
_symmetry_Int_Tables_number 12
_symmetry_space_group_name_Hall '-C 2y'
loop_
_atom_site_label
_atom_site_type_symbol
_atom_site_fract_x
_atom_site_fract_y
_atom_site_fract_z
Tm1 Tm 0.0203 0.0000 0.1718
Tm2 Tm 0.1888 0.0000 0.6056
Ga1 Ga 0.1960 0.5000 0.8099
Ag1 Ag 0.0363 0.5000 0.3909
Ag2 Ag 0.1527 0.5000 0.0359

Number 1: volume 26.4 Å³ per atom. Number 2: volume 15.2 Å³ per atom. Number 3: volume 24.6 Å³ per atom. Number 4: volume 37.8 Å³ per atom. Number 5: volume 19.8 Å³ per atom. Number 6: volume 22.1 Å³ per atom.